A relaxed PrSiP2N6 crystal. Source: the Alexandria database, functional PBE.

Output
Symmetry: C2/c (15)
Total magnetization (μB/f.u.): 0.00
Uncorrected formation energy (eV per atom): -0.61
N(E_F) (states/eV/cell): 7.852

Structure (extended XYZ):
```
20
Lattice="5.683 0.135 0.140 1.982 6.788 -0.123 1.982 -0.375 6.779" Properties=species:S:1:pos:R:3 pbc="T T T"
Pr 3.403 5.901 0.799
Pr 6.244 0.647 5.996
Si 3.403 1.327 5.206
Si 6.244 5.221 1.589
P 4.676 5.114 4.225
P 2.129 2.448 1.457
P 4.971 1.433 2.570
P 7.517 4.100 5.337
N 4.720 6.515 5.068
N 2.085 1.658 0.027
N 4.926 0.033 1.727
N 7.562 4.890 6.768
N 4.921 5.206 2.639
N 1.884 4.036 1.425
N 4.726 1.341 4.156
N 7.763 2.511 5.370
N 3.050 4.757 4.386
N 3.755 2.274 1.809
N 6.597 1.790 2.409
N 5.892 4.274 4.986
```